# 1
Here is a relaxed structure of YFe2B from Alexandria. Energies are from GGA-PBE.

Geometry as POSCAR:
```
YFe2B
1.0
-0.468 -1.204 3.950
0.119 2.813 3.058
-3.472 0.967 2.070
Fe B Y
2 1 1
direct
0.750 0.750 0.750
0.250 0.250 0.250
0.000 0.000 0.000
0.500 0.500 0.500
```

## Properties
E_form	0.628	eV per atom
Fermi-level density of states	5.21	states/eV/cell

=====

# 2
Here is a relaxed structure of Y3Fe3B8 from Alexandria. Energies are from GGA-PBE.

Geometry as POSCAR:
```
Y3Fe3B8
1.0
-2.677 -0.031 1.713
2.492 -2.554 6.798
1.488 5.281 5.370
B Fe Y
8 3 3
direct
0.864 0.821 0.452
0.620 0.647 0.113
0.620 0.113 0.647
0.136 0.548 0.179
0.136 0.179 0.548
0.380 0.353 0.887
0.380 0.887 0.353
0.864 0.452 0.821
0.500 0.000 0.000
0.000 0.205 0.795
0.000 0.795 0.205
0.500 0.500 0.500
0.776 0.224 0.224
0.224 0.776 0.776
```

## Properties
E_form	-0.234	eV per atom
Fermi-level density of states	6.45	states/eV/cell

=====

# 3
Here is a relaxed structure of YFeB3 from Alexandria. Energies are from GGA-PBE.

Geometry as POSCAR:
```
YFeB3
1.0
-2.884 -0.192 1.184
0.390 -4.703 0.188
4.144 0.586 6.067
B Fe Y
6 2 2
direct
0.714 0.035 0.427
0.286 0.535 0.573
0.813 0.250 0.626
0.714 0.465 0.427
0.286 0.965 0.573
0.187 0.750 0.374
0.592 0.750 0.185
0.408 0.250 0.815
0.086 0.250 0.172
0.914 0.750 0.828
```

## Properties
E_form	-0.001	eV per atom
Fermi-level density of states	1.79	states/eV/cell

=====

# 4
Here is a relaxed structure of YFeB3 from Alexandria. Energies are from GGA-PBE.

Geometry as POSCAR:
```
YFeB3
1.0
-0.045 1.568 3.507
-3.676 -1.038 0.418
1.118 -3.350 1.512
B Fe Y
3 1 1
direct
0.000 0.500 0.000
0.000 0.000 0.500
0.500 0.000 0.000
0.000 0.000 0.000
0.500 0.500 0.500
```

## Properties
E_form	-0.007	eV per atom
Fermi-level density of states	1.00	states/eV/cell